No. 1
## BaGaB4H3O10 (GGA-PBEsol)

Data for crystalline BaGaB4H3O10 at its relaxed geometry.

Structure (POSCAR):
```
BaGaB4H3O10
1.0
-3.7461 -6.0285 -0.2600
6.5623 0.1786 -2.7893
1.0681 -0.8418 9.7441
Ba Ga B H O
2 2 8 6 20
direct
0.0774 0.2924 0.7081
0.9226 0.7076 0.2919
0.3898 0.9075 0.6178
0.6102 0.0925 0.3822
0.6993 0.3995 0.7076
0.3007 0.6005 0.2924
0.5553 0.6312 0.6533
0.4447 0.3688 0.3467
0.9358 0.7491 0.6448
0.0642 0.2509 0.3552
0.6247 0.2368 0.9137
0.3753 0.7632 0.0863
0.6194 0.1670 0.1017
0.3806 0.8330 0.8983
0.1423 0.3369 0.0304
0.8577 0.6631 0.9696
0.1415 0.1011 0.9724
0.8585 0.8989 0.0276
0.5264 0.4530 0.6952
0.4736 0.5470 0.3048
0.3746 0.6390 0.6175
0.6254 0.3610 0.3825
0.7655 0.7963 0.6440
0.2345 0.2037 0.3560
0.1180 0.8922 0.6024
0.8820 0.1078 0.3976
0.9104 0.5697 0.6817
0.0896 0.4303 0.3183
0.6361 0.1741 0.6034
0.3639 0.8259 0.3966
0.7494 0.4073 0.8564
0.2506 0.5927 0.1436
0.6817 0.3000 0.0617
0.3183 0.7000 0.9383
0.4607 0.0230 0.8295
0.5393 0.9770 0.1705
0.0786 0.1849 0.9477
0.9214 0.8151 0.0523
```

- Crystal system: triclinic
- DFT total energy: -137.361 eV/f.u.
- Calculated density: 3.37 Mg/m³

No. 2
## LiB2Cl (GGA-PBEsol)

Data for crystalline LiB2Cl at its relaxed geometry.

Structure (POSCAR):
```
LiB2Cl
1.0
4.1777 0.0000 0.0000
2.0888 3.6180 0.0000
2.0888 1.2060 3.4110
Cl B Li
1 2 1
direct
0.5000 0.5000 0.5000
0.2500 0.2500 0.2500
0.7500 0.7500 0.7500
0.0000 0.0000 0.0000
```

- Formation energy without anion corrections: 1.80 eV/atom
- Crystal system: cubic
- DFT total energy: -10.795 eV/f.u.
- Calculated density: 2.06 Mg/m³

No. 3
## SiTc3 (GGA-PBEsol)

Data for crystalline SiTc3 at its relaxed geometry.

Structure (POSCAR):
```
SiTc3
1.0
2.7522 0.0000 0.0000
-0.9174 4.7787 0.0000
-0.9174 -2.3893 4.1385
Si Tc
1 3
direct
0.0000 0.0000 0.0000
0.5000 0.0000 0.5000
0.5000 0.5000 0.0000
0.0000 0.5000 0.5000
```

- Formation energy without anion corrections: -0.01 eV/atom
- Crystal system: trigonal
- Energy above the lowest structure with this stoichiometry: 291 meV per atom
- DFT total energy: -39.590 eV/f.u.
- Calculated density: 9.83 Mg/m³

No. 4
## TaMn2Tc (GGA-PBEsol)

Data for crystalline TaMn2Tc at its relaxed geometry.

Structure (POSCAR):
```
TaMn2Tc
1.0
-2.1569 -0.0359 -1.6921
-2.5395 -0.1693 1.0195
-1.9839 8.3432 0.1305
Mn Ta Tc
2 1 1
direct
0.2546 0.2546 0.2363
0.7454 0.7454 0.7637
0.5000 0.5000 0.5000
0.0000 0.0000 0.0000
```

- Calculated formation energy: 322 meV/atom
- Crystal system: trigonal
- Energy above the lowest structure with this stoichiometry: 262 meV per atom
- DFT total energy: -42.051 eV/f.u.
- Calculated density: 11.77 Mg/m³

No. 5
## Ti3TlRh (GGA-PBEsol)

Data for crystalline Ti3TlRh at its relaxed geometry.

Structure (POSCAR):
```
Ti3TlRh
1.0
4.9046 0.0000 0.0000
0.0000 4.9046 0.0000
0.0000 0.0000 4.9046
Tl Rh Ti
1 1 3
direct
0.0000 0.0000 0.0000
0.5000 0.5000 0.5000
0.0000 0.5000 0.0000
0.0000 0.0000 0.5000
0.5000 0.0000 0.0000
```

- Calculated formation energy: 1623 meV/atom
- Crystal system: cubic
- DFT total energy: -27.619 eV/f.u.
- Calculated density: 6.35 Mg/m³

No. 6
## Mg2CdIr (GGA-PBEsol)

Data for crystalline Mg2CdIr at its relaxed geometry.

Structure (POSCAR):
```
Mg2CdIr
1.0
3.2835 0.0000 0.0000
0.0000 4.4764 0.0000
-1.6417 -2.2382 4.6438
Mg Ir Cd
2 1 1
direct
0.0194 0.0194 0.0387
0.2467 0.7467 0.4935
0.7462 0.2462 0.4924
0.4877 0.4877 0.9754
```

- Calculated formation energy: -182 meV/atom
- Crystal system: orthorhombic
- DFT total energy: -15.184 eV/f.u.
- Calculated density: 8.59 Mg/m³

No. 7
## NdCd (GGA-PBEsol)

Data for crystalline NdCd at its relaxed geometry.

Structure (POSCAR):
```
NdCd
1.0
3.7785 0.0000 0.0000
0.0000 3.7785 0.0000
0.0000 0.0000 3.7785
Nd Cd
1 1
direct
0.0000 0.0000 0.0000
0.5000 0.5000 0.5000
```

- Calculated formation energy: -327 meV/atom
- Crystal system: cubic
- DFT total energy: -7.018 eV/f.u.
- Calculated density: 7.90 Mg/m³

No. 8
## Lu2InCu2 (GGA-PBEsol)

Data for crystalline Lu2InCu2 at its relaxed geometry.

Structure (POSCAR):
```
Lu2InCu2
1.0
3.6216 0.0000 0.0000
0.0000 7.2621 0.0000
0.0000 0.0000 7.2621
Lu Cu In
4 4 2
direct
0.5000 0.1711 0.6711
0.5000 0.3289 0.1711
0.5000 0.6711 0.8289
0.5000 0.8289 0.3289
0.0000 0.1220 0.3780
0.0000 0.3780 0.8780
0.0000 0.6220 0.1220
0.0000 0.8780 0.6220
0.0000 0.0000 0.0000
0.0000 0.5000 0.5000
```

- Calculated formation energy: -423 meV/atom
- Crystal system: tetragonal
- DFT total energy: -23.513 eV/f.u.
- Calculated density: 10.29 Mg/m³